VASP calculation (PBE) on a geometry-optimized PuFeGeRu structure.

- formation energy from the elements (eV/atom) = -0.180
- volume (Å³/atom) = 16.0
- space-group type = F-43m, No. 216

Unit cell a=6.3500 b=6.3500 c=6.3500 alpha=90.00 beta=90.00 gamma=90.00
Last column: nearest neighbours and their distance in Å.
Element x y z (fractional)
Pu (0.0000, 0.0000, 0.0000)  4 Fe 2.75, 4 Ru 2.75
Pu (0.0000, 0.5000, 0.5000)  4 Fe 2.75, 4 Ru 2.75
Pu (0.5000, 0.0000, 0.5000)  4 Fe 2.75, 4 Ru 2.75
Pu (0.5000, 0.5000, 0.0000)  4 Fe 2.75, 4 Ru 2.75
Fe (0.2500, 0.2500, 0.2500)  4 Ge 2.75, 4 Pu 2.75
Fe (0.2500, 0.7500, 0.7500)  4 Ge 2.75, 4 Pu 2.75
Fe (0.7500, 0.2500, 0.7500)  4 Ge 2.75, 4 Pu 2.75
Fe (0.7500, 0.7500, 0.2500)  4 Ge 2.75, 4 Pu 2.75
Ge (0.0000, 0.0000, 0.5000)  4 Fe 2.75, 4 Ru 2.75
Ge (0.0000, 0.5000, 0.0000)  4 Fe 2.75, 4 Ru 2.75
Ge (0.5000, 0.0000, 0.0000)  4 Fe 2.75, 4 Ru 2.75
Ge (0.5000, 0.5000, 0.5000)  4 Fe 2.75, 4 Ru 2.75
Ru (0.2500, 0.2500, 0.7500)  4 Ge 2.75, 4 Pu 2.75
Ru (0.2500, 0.7500, 0.2500)  4 Ge 2.75, 4 Pu 2.75
Ru (0.7500, 0.2500, 0.2500)  4 Ge 2.75, 4 Pu 2.75
Ru (0.7500, 0.7500, 0.7500)  4 Ge 2.75, 4 Pu 2.75



VASP calculation (PBE) on a geometry-optimized PuFeGe2Ru structure.

- formation energy from the elements (eV/atom) = -0.342
- volume (Å³/atom) = 17.4
- space-group type = I-4m2, No. 119

Unit cell a=4.0509 b=4.0509 c=10.5758 alpha=90.00 beta=90.00 gamma=90.00
Last column: nearest neighbours and their distance in Å.
Element x y z (fractional)
Pu (0.0000, 0.0000, 0.0000)  8 Ge 3.15, 4 Fe 3.33, 4 Ru 3.33
Pu (0.5000, 0.5000, 0.5000)  8 Ge 3.15, 4 Fe 3.33, 4 Ru 3.33
Fe (0.0000, 0.5000, 0.2500)  4 Ge 2.43
Fe (0.5000, 0.0000, 0.7500)  4 Ge 2.43
Ge (0.0000, 0.0000, 0.3770)  2 Fe 2.43, 2 Ru 2.43, 1 Ge 2.60
Ge (0.0000, 0.0000, 0.6230)  2 Fe 2.43, 2 Ru 2.43, 1 Ge 2.60
Ge (0.5000, 0.5000, 0.1230)  2 Fe 2.43, 2 Ru 2.43, 1 Ge 2.60
Ge (0.5000, 0.5000, 0.8770)  2 Fe 2.43, 2 Ru 2.43, 1 Ge 2.60
Ru (0.0000, 0.5000, 0.7500)  4 Ge 2.43
Ru (0.5000, 0.0000, 0.2500)  4 Ge 2.43